The following is a PBE-GGA calculation of crystalline Zr2GaNiN at its relaxed geometry, from Alexandria.

## Properties
symmetry: P4/nmm, No. 129
DFT total energy: -7.71 eV per atom
ρ: 7.3 g/cm3

abc: 3.5947 3.5947 11.4342
angles: 90.00 90.00 90.00
Atoms (fractional coordinates):
Zr 0.5000 0.0000 0.2841
Zr 0.0000 0.5000 0.7159
Zr 0.5000 0.0000 0.9057
Zr 0.0000 0.5000 0.0943
N 0.0000 0.5000 0.9044
N 0.5000 0.0000 0.0956
Ga 0.0000 0.5000 0.3589
Ga 0.5000 0.0000 0.6411
Ni 0.0000 0.0000 0.5000
Ni 0.5000 0.5000 0.5000